[1]
{
  "formula": "Al2CdIr",
  "functional": "PBE",
  "state": "optimized geometry",
  "cell": [[2.9654, 0.0000, 0.0000], [-1.4827, 2.5681, 0.0000], [0.0000, 0.0000, 26.8590]],
  "species": ["Al", "Al", "Al", "Al", "Al", "Al", "Cd", "Cd", "Cd", "Ir", "Ir", "Ir"],
  "frac_coords": [[0.0000, 0.0000, 0.0000], [0.0000, 0.0000, 0.2491], [0.3333, 0.6667, 0.6667], [0.3333, 0.6667, 0.9158], [0.6667, 0.3333, 0.3333], [0.6667, 0.3333, 0.5824], [0.0000, 0.0000, 0.7607], [0.3333, 0.6667, 0.4274], [0.6667, 0.3333, 0.0940], [0.0000, 0.0000, 0.5153], [0.3333, 0.6667, 0.1819], [0.6667, 0.3333, 0.8486]],
  "energy_ry_per_atom": -0.3265,
  "n_ef_per_ev_cell": 4.3,
  "spacegroup": "R3m (160)",
  "mass_density_g_cm3": 8.7
}

[2]
{
  "formula": "LaPmDyCu",
  "functional": "PBE",
  "state": "optimized geometry",
  "cell": [[3.5836, 0.0000, 0.0000], [0.0000, 3.5836, 0.0000], [0.0000, 0.0000, 8.8334]],
  "species": ["La", "Pm", "Dy", "Cu"],
  "frac_coords": [[0.0000, 0.0000, 0.0000], [0.5000, 0.5000, 0.3128], [0.5000, 0.5000, 0.6943], [0.0000, 0.0000, 0.5169]],
  "energy_ry_per_atom": -0.3434,
  "n_ef_per_ev_cell": 4.3,
  "spacegroup": "P4mm (99)",
  "mass_density_g_cm3": 7.5
}

> Which formula does entry 1 have?

Al2CdIr

> What is the formula in the second record?

LaPmDyCu